VASP calculation (PBE) on crystalline SiAg2P2 at its relaxed geometry.

Values from the calculation:
Density of states at the Fermi level, states/eV per cell: 0.134
SG: I-42d (122)
Total DFT energy (no corrections), eV per formula unit: -22.27
Spin magnetization, μB per formula unit: 0.00
E_form (uncorrected), eV per formula unit: -0.3

Cell and atoms, written as POSCAR:
```
SiAg2P2
1.0
-3.2993 3.2993 4.2770
3.2993 -3.2993 4.2770
3.2993 3.2993 -4.2770
Si Ag P
2 4 4
direct
0.0000 0.0000 0.0000
0.7500 0.2500 0.5000
0.3229 0.1250 0.6979
0.3750 0.6771 0.8021
0.4271 0.6250 0.3021
0.8750 0.5729 0.1979
0.0447 0.6250 0.9197
0.3750 0.2947 0.4197
0.7053 0.1250 0.0803
0.8750 0.9553 0.5803
```

***

VASP calculation (PBE) on crystalline Pr2Sm2Hg7 at its relaxed geometry.

Values from the calculation:
Density of states at the Fermi level, states/eV per cell: 8.896
SG: Cmmm (65)
Total DFT energy (no corrections), eV per formula unit: -22.53
Spin magnetization, μB per formula unit: 0.00

Cell and atoms, written as POSCAR:
```
Pr2Sm2Hg7
1.0
5.0005 -5.5970 0.0000
5.0005 5.5970 0.0000
0.0000 0.0000 6.2681
Pr Sm Hg
2 2 7
direct
0.1888 0.1888 0.0000
0.8112 0.8112 0.0000
0.2744 0.7256 0.5000
0.7256 0.2744 0.5000
0.0000 0.0000 0.5000
0.0000 0.5000 0.2342
0.0000 0.5000 0.7658
0.5000 0.0000 0.2342
0.5000 0.0000 0.7658
0.5000 0.5000 0.2288
0.5000 0.5000 0.7712
```

***

VASP calculation (PBE) on crystalline Nd2Ga3Ge4 at its relaxed geometry.

Values from the calculation:
Density of states at the Fermi level, states/eV per cell: 6.565
SG: Cmce (64)
Total DFT energy (no corrections), eV per formula unit: -40.86
Spin magnetization, μB per formula unit: 0.00

Cell and atoms, written as POSCAR:
```
Nd2Ga3Ge4
1.0
3.0761 -7.5036 0.0000
3.0761 7.5036 0.0000
0.0000 0.0000 8.1839
Nd Ga Ge
4 6 8
direct
0.1170 0.8830 0.9191
0.3830 0.6170 0.4191
0.6170 0.3830 0.5809
0.8830 0.1170 0.0809
0.0000 0.0000 0.5000
0.0354 0.4646 0.7500
0.4646 0.0354 0.2500
0.5000 0.5000 0.0000
0.5354 0.9646 0.7500
0.9646 0.5354 0.2500
0.1863 0.8137 0.5555
0.2051 0.2949 0.7500
0.2949 0.2051 0.2500
0.3137 0.6863 0.0555
0.6863 0.3137 0.9445
0.7051 0.7949 0.7500
0.7949 0.7051 0.2500
0.8137 0.1863 0.4445
```

***

VASP calculation (PBE) on crystalline LaNbGa2 at its relaxed geometry.

Values from the calculation:
Density of states at the Fermi level, states/eV per cell: 3.184
SG: R-3m (166)
ΔE to the lowest computed polymorph, meV/atom: 0
Total DFT energy (no corrections), eV per formula unit: -21.62
Spin magnetization, μB per formula unit: 0.00

Cell and atoms, written as POSCAR:
```
LaNbGa2
1.0
1.9988 1.1540 6.8672
-1.9988 1.1540 6.8672
0.0000 -2.3080 6.8672
La Nb Ga
1 1 2
direct
0.0000 0.0000 0.0000
0.5000 0.5000 0.5000
0.2320 0.2320 0.2320
0.7680 0.7680 0.7680
```